Material: BaCdPb2
Method: DFT, meta-GGA SCAN
State: single point on PBEsol structure

a = 7.0354 Å, b = 10.0204 Å, c = 3.5101 Å
α = 90.00°, β = 90.00°, γ = 90.00°
Last column: nearest neighbours and their distance in Å.
Space group Cmmm (No. 65)
Symmetry-distinct sites (fractional):
Ba 0.0000 0.0000 0.0000 x2  2 Ba 3.51, 2 Cd 3.52, 8 Pb 3.53
Cd 0.0000 0.5000 0.0000 x2  2 Cd 3.51, 2 Ba 3.52, 8 Pb 3.53
Pb 0.2500 0.2500 0.5000 x4  4 Pb 3.51-3.52, 4 Cd 3.53, 4 Ba 3.53

## Properties
V: 247.5 Å³/cell
Energy: -222.5 eV/f.u.
Formation enthalpy at 0 K: -0.244 eV/atom
Size of the total moment: 0.00 Bohr magnetons per cell